No. 1
Compound: CaBPd3
Source: Alexandria via LeMat-Bulk
Functional: PBE
Structure: relaxed

```
CaBPd3
1.0
5.456 0.000 0.000
-0.011 5.775 0.000
-2.090 -2.861 5.151
Ca B Pd
2 2 6
Cartesian
0.000 0.000 0.000 Ca
1.356 2.890 2.286 Ca
-0.067 0.029 3.576 B
3.935 2.906 0.957 B
1.668 -0.001 2.414 Pd
0.610 1.445 5.018 Pd
0.619 -1.380 5.017 Pd
4.195 1.450 2.441 Pd
4.202 4.358 2.450 Pd
3.343 0.022 4.677 Pd
```

Output
* energy of formation from the pure elements: -0.500 eV per atom
* uncorrected energy: -5.351 eV/atom
* M_tot: 0.00 μB/cell
* space group: P1

***

No. 2
Compound: Rb7Br5Cl
Source: Alexandria via LeMat-Bulk
Functional: PBE
Structure: relaxed

```
Rb7Br5Cl
1.0
8.293 -2.427 0.000
8.293 2.427 0.000
-0.051 0.000 29.858
Rb Br Cl
14 10 2
Cartesian
0.000 0.000 0.000 Rb
16.577 0.000 4.152 Rb
1.525 0.000 21.336 Rb
1.563 0.000 12.671 Rb
4.403 0.000 6.405 Rb
4.365 0.000 27.606 Rb
5.942 0.000 19.088 Rb
5.969 0.000 14.933 Rb
8.953 0.000 25.547 Rb
8.988 0.000 8.464 Rb
10.181 0.000 17.003 Rb
12.355 0.000 2.077 Rb
13.526 0.000 23.396 Rb
13.562 0.000 10.616 Rb
2.946 0.000 24.471 Br
2.983 0.000 9.538 Br
7.499 0.000 22.269 Br
7.533 0.000 11.745 Br
10.518 0.000 5.301 Br
10.480 0.000 28.710 Br
11.996 0.000 20.233 Br
12.034 0.000 13.778 Br
15.017 0.000 7.335 Br
14.979 0.000 26.674 Br
6.891 0.000 2.070 Cl
15.642 0.000 17.032 Cl
```

Output
* uncorrected energy: -2.894 eV/atom
* M_tot: 0.00 μB/cell
* space group: Cm

***

No. 3
Compound: TbYCdGa
Source: Alexandria via LeMat-Bulk
Functional: PBE
Structure: relaxed

```
TbYCdGa
1.0
0.000 3.671 3.671
3.671 0.000 3.671
3.671 3.671 0.000
Tb Y Cd Ga
1 1 1 1
Cartesian
0.000 0.000 0.000 Tb
3.671 3.671 3.671 Y
1.835 1.835 1.835 Cd
5.506 5.506 5.506 Ga
```

Output
* energy of formation from the pure elements: -0.459 eV per atom
* E above lowest polymorph: 15 meV per atom
* uncorrected energy: -4.218 eV/atom
* M_tot: 0.00 μB/cell
* space group: F-43m

***

No. 4
Compound: CsLiSe2Br
Source: Alexandria via LeMat-Bulk
Functional: PBE
Structure: relaxed

```
CsLiSe2Br
1.0
4.885 0.000 0.000
0.000 4.885 0.000
0.000 0.000 6.519
Cs Li Se Br
1 1 2 1
Cartesian
0.000 0.000 0.000 Cs
2.442 2.442 3.259 Li
0.000 2.442 3.259 Se
2.442 0.000 3.259 Se
2.442 2.442 0.000 Br
```

Output
* E above lowest polymorph: 0 meV per atom
* uncorrected energy: -2.848 eV/atom
* M_tot: 0.87 μB/cell
* space group: P4/mmm

***

No. 5
Compound: NbMo3Cl
Source: Alexandria via LeMat-Bulk
Functional: PBE
Structure: relaxed

```
NbMo3Cl
1.0
4.413 0.000 0.000
0.000 4.413 0.000
0.000 0.000 4.413
Nb Mo Cl
1 3 1
Cartesian
0.000 0.000 0.000 Nb
0.000 2.206 2.206 Mo
2.206 0.000 2.206 Mo
2.206 2.206 0.000 Mo
2.206 2.206 2.206 Cl
```

Output
* E above lowest polymorph: 0 meV per atom
* uncorrected energy: -7.922 eV/atom
* M_tot: 0.00 μB/cell
* space group: Pm-3m

***

No. 6
Compound: Na4U3MnN8
Source: Alexandria via LeMat-Bulk
Functional: PBE
Structure: relaxed

```
Na4U3MnN8
1.0
3.435 1.983 5.623
-3.435 1.983 5.623
0.000 -3.966 5.623
Na U Mn N
4 3 1 8
Cartesian
0.000 0.000 0.000 Na
-1.717 -0.992 5.623 Na
-1.717 0.992 11.247 Na
0.000 1.983 5.623 Na
-3.435 0.000 8.435 U
-1.717 0.992 2.812 U
1.717 0.992 2.812 U
0.000 0.000 8.435 Mn
-1.829 -1.056 9.465 N
0.000 0.000 3.865 N
0.000 -2.112 7.405 N
-1.829 1.056 7.405 N
1.829 -1.056 9.465 N
0.000 2.112 9.465 N
0.000 0.000 13.005 N
1.829 1.056 7.405 N
```

Output
* uncorrected energy: -8.014 eV/atom
* M_tot: 5.00 μB/cell
* space group: R-3m

***

No. 7
Compound: Y2NiCl
Source: Alexandria via LeMat-Bulk
Functional: PBE
Structure: relaxed

```
Y2NiCl
1.0
-3.538 3.538 4.023
3.538 -3.538 4.023
3.538 3.538 -4.023
Y Ni Cl
4 2 2
Cartesian
5.307 1.618 -1.006 Y
1.618 1.769 1.006 Y
-1.769 1.920 3.017 Y
1.920 1.769 5.028 Y
0.000 0.000 0.000 Ni
0.000 3.538 2.011 Ni
3.538 0.000 2.011 Cl
0.000 0.000 4.023 Cl
```

Output
* E above lowest polymorph: 351 meV per atom
* uncorrected energy: -5.698 eV/atom
* M_tot: 0.00 μB/cell
* space group: I-42d

***

No. 8
Compound: TiSbO
Source: Alexandria via LeMat-Bulk
Functional: PBE
Structure: relaxed

```
TiSbO
1.0
3.208 0.000 0.000
-1.604 2.778 0.000
0.000 0.000 6.958
Ti Sb O
1 1 1
Cartesian
0.000 0.000 0.000 Ti
0.000 1.852 4.708 Sb
1.604 0.926 0.743 O
```

Output
* E above lowest polymorph: 6 meV per atom
* uncorrected energy: -7.215 eV/atom
* M_tot: 0.00 μB/cell
* space group: P3m1

***

No. 9
Compound: Nb2Os2Au
Source: Alexandria via LeMat-Bulk
Functional: PBE
Structure: relaxed

```
Nb2Os2Au
1.0
7.518 0.000 0.000
0.000 7.518 0.000
0.000 0.000 3.054
Nb Os Au
4 4 2
Cartesian
1.198 2.561 0.000 Nb
2.561 6.320 0.000 Nb
4.956 1.198 0.000 Nb
6.320 4.956 0.000 Nb
1.036 4.795 1.527 Os
2.723 1.036 1.527 Os
4.795 6.482 1.527 Os
6.482 2.723 1.527 Os
0.000 0.000 1.527 Au
3.759 3.759 1.527 Au
```

Output
* energy of formation from the pure elements: -0.022 eV per atom
* uncorrected energy: -9.197 eV/atom
* M_tot: 0.00 μB/cell
* space group: P4/mbm

***

No. 10
Compound: PrDy2Mg2Cd2
Source: Alexandria via LeMat-Bulk
Functional: PBE
Structure: relaxed

```
PrDy2Mg2Cd2
1.0
2.537 1.465 8.585
-2.537 1.465 8.585
0.000 -2.930 8.585
Pr Dy Mg Cd
1 2 2 2
Cartesian
0.000 0.000 0.000 Pr
0.000 0.000 3.327 Dy
0.000 0.000 22.427 Dy
0.000 0.000 6.814 Mg
0.000 0.000 18.940 Mg
0.000 0.000 10.491 Cd
0.000 0.000 15.263 Cd
```

Output
* energy of formation from the pure elements: -0.104 eV per atom
* uncorrected energy: -2.819 eV/atom
* M_tot: 0.00 μB/cell
* space group: R-3m

***

No. 11
Compound: Re3RuRh
Source: Alexandria via LeMat-Bulk
Functional: PBE
Structure: relaxed

```
Re3RuRh
1.0
2.195 -6.246 0.000
2.195 6.246 0.000
0.000 0.000 5.511
Re Ru Rh
6 2 2
Cartesian
2.195 4.745 4.133 Re
2.195 2.355 0.009 Re
2.195 2.355 2.747 Re
2.195 -2.355 2.765 Re
2.195 -2.355 5.502 Re
2.195 -4.745 1.378 Re
2.195 4.691 1.378 Ru
2.195 -4.691 4.133 Ru
2.195 0.020 4.133 Rh
2.195 -0.020 1.378 Rh
```

Output
* energy of formation from the pure elements: 0.150 eV per atom
* E above lowest polymorph: 0 meV per atom
* uncorrected energy: -10.644 eV/atom
* M_tot: 0.00 μB/cell
* space group: Cmcm

***

No. 12
Compound: LaHo3Mn
Source: Alexandria via LeMat-Bulk
Functional: PBE
Structure: relaxed

```
LaHo3Mn
1.0
5.334 0.000 0.000
0.000 5.334 0.000
0.000 0.000 5.334
La Ho Mn
1 3 1
Cartesian
0.000 0.000 0.000 La
0.000 2.667 2.667 Ho
2.667 0.000 2.667 Ho
2.667 2.667 0.000 Ho
2.667 2.667 2.667 Mn
```

Output
* energy of formation from the pure elements: 0.199 eV per atom
* uncorrected energy: -5.367 eV/atom
* M_tot: 0.76 μB/cell
* space group: Pm-3m

***

No. 13
Compound: Nd2Ru
Source: Alexandria via LeMat-Bulk
Functional: PBE
Structure: relaxed

```
Nd2Ru
1.0
0.000 5.705 9.884
2.832 0.000 9.884
2.832 5.705 0.000
Nd Ru
8 4
Cartesian
0.708 1.426 0.663 Nd
0.708 1.426 4.279 Nd
2.124 2.511 7.413 Nd
3.541 5.364 12.355 Nd
2.124 6.047 7.413 Nd
3.541 8.900 12.355 Nd
4.957 9.985 15.490 Nd
4.957 9.985 19.105 Nd
2.124 4.279 4.982 Ru
2.124 4.279 9.845 Ru
3.541 7.132 9.924 Ru
3.541 7.132 14.787 Ru
```

Output
* energy of formation from the pure elements: -0.125 eV per atom
* uncorrected energy: -6.395 eV/atom
* M_tot: 0.00 μB/cell
* space group: Fddd

***

No. 14
Compound: CeSmCdGa
Source: Alexandria via LeMat-Bulk
Functional: PBE
Structure: relaxed

```
CeSmCdGa
1.0
0.000 3.740 3.740
3.740 0.000 3.740
3.740 3.740 0.000
Ce Sm Cd Ga
1 1 1 1
Cartesian
0.000 0.000 0.000 Ce
3.740 3.740 3.740 Sm
1.870 1.870 1.870 Cd
5.609 5.609 5.609 Ga
```

Output
* energy of formation from the pure elements: -0.345 eV per atom
* uncorrected energy: -3.994 eV/atom
* M_tot: 0.92 μB/cell
* space group: F-43m

***

No. 15
Compound: ZrNbCr2Cu
Source: Alexandria via LeMat-Bulk
Functional: PBE
Structure: relaxed

```
ZrNbCr2Cu
1.0
4.565 0.000 0.000
0.000 4.565 0.000
0.000 0.000 4.693
Zr Nb Cr Cu
1 1 2 1
Cartesian
0.000 0.000 0.000 Zr
2.282 2.282 2.346 Nb
0.000 2.282 0.000 Cr
2.282 0.000 0.000 Cr
0.000 0.000 2.346 Cu
```

Output
* energy of formation from the pure elements: 1.673 eV per atom
* uncorrected energy: -6.719 eV/atom
* M_tot: 3.60 μB/cell
* space group: P4/mmm

***

No. 16
Compound: UNb2Cr
Source: Alexandria via LeMat-Bulk
Functional: PBE
Structure: relaxed

```
UNb2Cr
1.0
3.296 0.000 0.000
0.000 3.296 0.000
0.000 0.000 6.406
U Nb Cr
1 2 1
Cartesian
0.000 0.000 0.000 U
1.648 1.648 1.691 Nb
1.648 1.648 4.715 Nb
0.000 0.000 3.203 Cr
```

Output
* energy of formation from the pure elements: 0.313 eV per atom
* E above lowest polymorph: 79 meV per atom
* uncorrected energy: -9.950 eV/atom
* M_tot: 0.01 μB/cell
* space group: P4/mmm

***

No. 17
Compound: In2OsCl2
Source: Alexandria via LeMat-Bulk
Functional: PBE
Structure: relaxed

```
In2OsCl2
1.0
6.337 0.000 0.000
0.000 6.337 0.000
0.000 0.000 5.883
In Os Cl
4 2 4
Cartesian
1.298 1.871 0.000 In
1.871 5.040 0.000 In
4.466 1.298 0.000 In
5.040 4.466 0.000 In
0.000 0.000 2.941 Os
3.169 3.169 2.941 Os
1.086 4.255 2.941 Cl
2.083 1.086 2.941 Cl
4.255 5.252 2.941 Cl
5.252 2.083 2.941 Cl
```

Output
* E above lowest polymorph: 0 meV per atom
* uncorrected energy: -3.799 eV/atom
* M_tot: 0.99 μB/cell
* space group: P4/mbm

***

No. 18
Compound: TbCd3Au2
Source: Alexandria via LeMat-Bulk
Functional: PBE
Structure: relaxed

```
TbCd3Au2
1.0
7.363 -2.296 0.000
7.363 2.296 0.000
-4.646 0.000 7.830
Tb Cd Au
2 6 4
Cartesian
1.884 0.000 0.156 Tb
8.197 0.000 7.674 Tb
-0.961 0.000 3.020 Cd
2.122 0.000 3.500 Cd
4.682 0.000 2.105 Cd
5.399 0.000 5.725 Cd
7.959 0.000 4.329 Cd
11.042 0.000 4.810 Cd
-0.286 0.000 6.066 Au
2.658 0.000 6.421 Au
7.422 0.000 1.409 Au
10.366 0.000 1.763 Au
```

Output
* energy of formation from the pure elements: -0.388 eV per atom
* uncorrected energy: -2.709 eV/atom
* M_tot: 0.00 μB/cell
* space group: C2/m

***

No. 19
Compound: La8Dy4Th
Source: Alexandria via LeMat-Bulk
Functional: PBE
Structure: relaxed

```
La8Dy4Th
1.0
6.900 0.000 0.000
3.156 6.145 0.000
1.339 0.865 10.963
La Dy Th
8 4 1
Cartesian
0.000 0.000 0.000 La
2.915 4.066 9.530 La
2.174 1.385 4.506 La
4.127 4.452 3.353 La
6.385 4.010 10.742 La
4.927 0.867 9.549 La
5.817 1.668 3.318 La
8.747 5.400 5.978 La
2.579 1.589 1.469 Dy
5.452 5.594 7.525 Dy
7.517 4.616 2.076 Dy
7.384 2.396 7.500 Dy
4.023 2.533 6.717 Th
```

Output
* energy of formation from the pure elements: 0.132 eV per atom
* uncorrected energy: -4.887 eV/atom
* M_tot: 0.00 μB/cell
* space group: P1

***

No. 20
Compound: RbHfSc
Source: Alexandria via LeMat-Bulk
Functional: PBE
Structure: relaxed

```
RbHfSc
1.0
3.274 0.000 0.000
1.565 6.166 0.000
0.458 1.762 10.899
Rb Hf Sc
2 2 2
Cartesian
0.000 0.000 0.000 Rb
1.911 6.224 4.193 Rb
2.147 1.434 7.326 Hf
3.781 3.268 5.703 Hf
2.133 4.768 7.883 Sc
2.151 3.097 3.077 Sc
```

Output
* energy of formation from the pure elements: 0.824 eV per atom
* E above lowest polymorph: 451 meV per atom
* uncorrected energy: -4.927 eV/atom
* M_tot: 0.78 μB/cell
* space group: P1

***

No. 21
Compound: LiBeCoOs2
Source: Alexandria via LeMat-Bulk
Functional: PBE
Structure: relaxed

```
LiBeCoOs2
1.0
4.127 0.000 0.000
0.000 4.127 0.000
0.000 0.000 3.655
Li Be Co Os
1 1 1 2
Cartesian
0.000 0.000 0.000 Li
2.063 2.063 1.828 Be
0.000 0.000 1.828 Co
0.000 2.063 0.000 Os
2.063 0.000 0.000 Os
```

Output
* energy of formation from the pure elements: 1.413 eV per atom
* uncorrected energy: -5.628 eV/atom
* M_tot: 1.69 μB/cell
* space group: P4/mmm

***

No. 22
Compound: FeCoCuSi
Source: Alexandria via LeMat-Bulk
Functional: PBE
Structure: relaxed

```
FeCoCuSi
1.0
0.000 2.798 2.798
2.798 0.000 2.798
2.798 2.798 0.000
Fe Co Cu Si
1 1 1 1
Cartesian
0.000 0.000 0.000 Fe
2.798 2.798 2.798 Co
4.197 4.197 4.197 Cu
1.399 1.399 1.399 Si
```

Output
* uncorrected energy: -6.434 eV/atom
* M_tot: 1.41 μB/cell
* space group: F-43m

***

No. 23
Compound: Nd2DyHoTm4
Source: Alexandria via LeMat-Bulk
Functional: PBE
Structure: relaxed

```
Nd2DyHoTm4
1.0
6.780 -6.610 0.000
6.780 6.610 0.000
-3.386 0.000 5.869
Nd Dy Ho Tm
4 2 2 8
Cartesian
0.000 0.000 0.000 Nd
-1.693 0.000 2.935 Nd
3.390 3.305 0.000 Nd
1.697 -3.305 2.935 Nd
6.780 0.000 0.000 Dy
5.087 0.000 2.935 Dy
1.697 3.305 2.935 Ho
3.390 -3.305 0.000 Ho
1.724 0.022 2.957 Tm
3.396 3.270 5.862 Tm
5.086 3.270 2.942 Tm
3.417 -0.022 0.022 Tm
6.757 0.022 5.847 Tm
5.089 -3.270 2.927 Tm
6.778 -3.270 0.007 Tm
8.450 -0.022 2.913 Tm
```

Output
* energy of formation from the pure elements: 0.434 eV per atom
* uncorrected energy: -4.142 eV/atom
* M_tot: 4.86 μB/cell
* space group: C2/c

***

No. 24
Compound: SrLiAs2
Source: Alexandria via LeMat-Bulk
Functional: PBE
Structure: relaxed

```
SrLiAs2
1.0
3.290 0.000 0.000
0.000 3.290 0.000
0.000 0.000 8.241
Sr Li As
1 1 2
Cartesian
0.000 0.000 0.000 Sr
0.000 0.000 4.120 Li
1.645 1.645 2.262 As
1.645 1.645 5.979 As
```

Output
* energy of formation from the pure elements: -0.506 eV per atom
* E above lowest polymorph: 266 meV per atom
* uncorrected energy: -3.729 eV/atom
* M_tot: 0.00 μB/cell
* space group: P4/mmm